Here is an optimized crystal structure of ReGePb2O6 from the Open Quantum Materials Database. Energies are from PBE. Values from VASP.

Cell and atoms, written as Quantum ESPRESSO input:
```
&SYSTEM
  ibrav = 0, nat = 10, ntyp = 4
/
ATOMIC_SPECIES
Re 186.21 Re.upf
Ge 72.64 Ge.upf
Pb 207.20 Pb.upf
O 16.00 O.upf
CELL_PARAMETERS angstrom
-2.7887 2.7887 3.9546
2.7887 -2.7887 3.9546
2.7887 2.7887 -3.9546
ATOMIC_POSITIONS angstrom
Re 0.0000 0.0000 0.0000
Ge 0.0000 0.0000 3.9546
Pb 2.7887 0.0000 1.9773
Pb 0.0000 2.7887 1.9773
O 0.0000 0.0000 2.0380
O 1.4378 1.4378 0.0000
O 1.3509 -1.3509 3.9546
O -1.3509 1.3509 3.9546
O 0.0000 0.0000 5.8712
O 1.3509 1.3509 3.9546
```

---

Here is an optimized crystal structure of ReGePb2O6 from the Open Quantum Materials Database. Energies are from PBE. Values from VASP.

Cell and atoms, written as Quantum ESPRESSO input:
```
&SYSTEM
  ibrav = 0, nat = 10, ntyp = 4
/
ATOMIC_SPECIES
Re 186.21 Re.upf
Ge 72.64 Ge.upf
Pb 207.20 Pb.upf
O 16.00 O.upf
CELL_PARAMETERS angstrom
2.8098 1.6223 4.5045
-2.8098 1.6223 4.5045
0.0000 -3.2445 4.5045
ATOMIC_POSITIONS angstrom
Re 0.0000 0.0000 0.0000
Ge 0.0000 0.0000 6.7568
Pb 0.0000 0.0000 3.3750
Pb 0.0000 0.0000 10.1385
O -1.4874 0.5518 5.6433
O -1.2216 -1.0122 7.8702
O 0.2658 -1.5640 5.6433
O -0.2658 1.5640 7.8702
O 1.2216 1.0122 5.6433
O 1.4874 -0.5518 7.8702
```

---

Here is an optimized crystal structure of ReGePb2O6 from the Open Quantum Materials Database. Energies are from PBE. Values from VASP.

Cell and atoms, written as Quantum ESPRESSO input:
```
&SYSTEM
  ibrav = 0, nat = 10, ntyp = 4
/
ATOMIC_SPECIES
Re 186.21 Re.upf
Ge 72.64 Ge.upf
Pb 207.20 Pb.upf
O 16.00 O.upf
CELL_PARAMETERS angstrom
4.8220 -2.7769 0.0000
4.8220 2.7769 0.0000
-3.3044 0.0000 4.5968
ATOMIC_POSITIONS angstrom
Re 0.0000 0.0000 0.0000
Ge 3.1698 0.0000 2.2984
Pb -0.0550 0.0000 3.4155
Pb 6.3946 0.0000 1.1812
O 2.1719 1.3687 3.2553
O 1.8166 0.0000 0.9331
O 4.1678 1.3687 1.3415
O 2.1719 -1.3687 3.2553
O 4.5230 0.0000 3.6637
O 4.1678 -1.3687 1.3415
```

---

Here is an optimized crystal structure of ZrGe2PbO7 from the Open Quantum Materials Database. Energies are from PBE. Values from VASP.

Cell and atoms, written as Quantum ESPRESSO input:
```
&SYSTEM
  ibrav = 0, nat = 11, ntyp = 4
/
ATOMIC_SPECIES
Zr 91.22 Zr.upf
Ge 72.64 Ge.upf
Pb 207.20 Pb.upf
O 16.00 O.upf
CELL_PARAMETERS angstrom
3.6159 -4.4114 0.0000
3.6159 4.4114 0.0000
-0.8292 0.0000 4.7975
ATOMIC_POSITIONS angstrom
Zr 0.0000 0.0000 0.0000
Ge 1.5697 1.5996 2.7196
Ge 4.8329 1.5996 2.0778
Pb 3.6159 -0.7952 0.0000
O 0.8599 0.2927 3.6576
O 1.1202 -1.3509 1.1146
O 3.2013 0.9217 2.3987
O 2.0812 -2.7269 3.5873
O 5.5428 0.2927 1.1399
O 4.3215 -2.7269 1.2102
O 5.2825 -1.3509 3.6829
```

---

Here is an optimized crystal structure of GePd2O4 from the Open Quantum Materials Database. Energies are from PBE. Values from VASP.

Cell and atoms, written as Quantum ESPRESSO input:
```
&SYSTEM
  ibrav = 0, nat = 14, ntyp = 3
/
ATOMIC_SPECIES
Ge 72.64 Ge.upf
Pd 106.42 Pd.upf
O 16.00 O.upf
CELL_PARAMETERS angstrom
0.0000 4.3604 4.3604
4.3604 0.0000 4.3604
4.3604 4.3604 0.0000
ATOMIC_POSITIONS angstrom
Ge 1.0901 1.0901 1.0901
Ge 7.6307 7.6307 7.6307
Pd 4.3604 2.1802 2.1802
Pd 2.1802 4.3604 2.1802
Pd 2.1802 2.1802 4.3604
Pd 4.3604 4.3604 4.3604
O 6.5830 4.3179 4.3179
O 2.1377 2.1377 2.1377
O 4.4029 4.4029 2.1377
O 4.4029 2.1377 4.4029
O 4.3179 6.5830 4.3179
O 4.3179 4.3179 6.5830
O 6.5830 6.5830 6.5830
O 2.1377 4.4029 4.4029
```

---

Here is an optimized crystal structure of PrGePdO5 from the Open Quantum Materials Database. Energies are from PBE. Values from VASP.

Cell and atoms, written as Quantum ESPRESSO input:
```
&SYSTEM
  ibrav = 0, nat = 16, ntyp = 4
/
ATOMIC_SPECIES
Pr 140.91 Pr.upf
Ge 72.64 Ge.upf
Pd 106.42 Pd.upf
O 16.00 O.upf
CELL_PARAMETERS angstrom
5.7239 0.0000 0.0000
-1.8904 5.5795 0.0000
-1.2318 -2.5617 6.4282
ATOMIC_POSITIONS angstrom
Pr -0.1194 1.0673 1.7984
Pr 2.7212 1.9504 4.6298
Ge -0.4677 -0.0867 4.9470
Ge 3.0695 3.1045 1.4812
Pd 2.8620 0.0000 0.0000
Pd 2.2461 -1.2809 3.2141
O -1.5140 2.9798 2.8648
O -0.4324 -1.5947 5.8365
O -1.0972 1.1582 6.0454
O 1.0650 0.2640 4.1268
O 1.9462 -0.0176 1.7300
O 0.6555 3.0353 4.6981
O 1.5367 2.7538 2.3014
O 3.6989 1.8595 0.3828
O 3.0341 4.6125 0.5916
O 4.1157 0.0379 3.5634
```

---

Here is an optimized crystal structure of GePdSeO from the Open Quantum Materials Database. Energies are from PBE. Values from VASP.

Cell and atoms, written as Quantum ESPRESSO input:
```
&SYSTEM
  ibrav = 0, nat = 16, ntyp = 4
/
ATOMIC_SPECIES
Ge 72.64 Ge.upf
Pd 106.42 Pd.upf
Se 78.96 Se.upf
O 16.00 O.upf
CELL_PARAMETERS angstrom
6.8163 0.0000 0.0000
0.0000 7.2742 0.0000
0.0000 0.0000 5.4150
ATOMIC_POSITIONS angstrom
Ge 0.2525 1.1470 0.0000
Ge 3.1557 1.1470 2.7075
Ge 3.6607 6.1272 0.0000
Ge 6.5638 6.1272 2.7075
Pd 0.9477 2.2364 2.6977
Pd 2.4604 2.2364 5.4052
Pd 4.3559 5.0378 2.6977
Pd 5.8686 5.0378 5.4052
Se 1.6024 4.5332 5.1336
Se 1.8058 4.5332 2.4261
Se 5.0105 2.7410 5.1336
Se 5.2140 2.7410 2.4261
O 0.2604 0.3454 3.6841
O 3.1478 0.3454 0.9766
O 3.6685 6.9288 3.6841
O 6.5560 6.9288 0.9766
```

---

Here is an optimized crystal structure of GePdSeO from the Open Quantum Materials Database. Energies are from PBE. Values from VASP.

Cell and atoms, written as Quantum ESPRESSO input:
```
&SYSTEM
  ibrav = 0, nat = 16, ntyp = 4
/
ATOMIC_SPECIES
Ge 72.64 Ge.upf
Pd 106.42 Pd.upf
Se 78.96 Se.upf
O 16.00 O.upf
CELL_PARAMETERS angstrom
6.0806 0.0000 0.0000
0.0000 8.4838 0.0000
0.0000 0.0000 6.1799
ATOMIC_POSITIONS angstrom
Ge 0.4041 2.0229 0.0000
Ge 2.6362 2.0229 3.0900
Ge 3.4444 6.4609 0.0000
Ge 5.6765 6.4609 3.0900
Pd 1.2998 5.5213 0.3063
Pd 1.7405 5.5213 3.3963
Pd 4.3402 2.9625 0.3063
Pd 4.7808 2.9625 3.3963
Se 0.3987 1.2714 3.8091
Se 2.6416 1.2714 0.7191
Se 3.4390 7.2123 3.8091
Se 5.6819 7.2123 0.7191
O 0.1863 3.8025 5.9964
O 2.8540 3.8025 2.9065
O 3.2266 4.6813 5.9964
O 5.8944 4.6813 2.9065
```

---

Here is an optimized crystal structure of GePdSeO from the Open Quantum Materials Database. Energies are from PBE. Values from VASP.

Cell and atoms, written as Quantum ESPRESSO input:
```
&SYSTEM
  ibrav = 0, nat = 16, ntyp = 4
/
ATOMIC_SPECIES
Ge 72.64 Ge.upf
Pd 106.42 Pd.upf
Se 78.96 Se.upf
O 16.00 O.upf
CELL_PARAMETERS angstrom
5.0548 0.0000 0.0000
0.0000 8.0775 0.0000
0.0000 0.0000 8.6535
ATOMIC_POSITIONS angstrom
Ge 0.7454 1.7194 0.9693
Ge 1.7820 6.3582 5.2961
Ge 3.2728 2.3194 7.6842
Ge 4.3095 5.7582 3.3575
Pd 1.1488 5.8379 0.2565
Pd 1.3786 2.2397 4.5832
Pd 3.6762 6.2784 8.3971
Pd 3.9060 1.7991 4.0703
Se 0.2109 3.3721 2.7854
Se 2.3166 4.7054 7.1122
Se 2.7383 0.6667 5.8681
Se 4.8440 7.4109 1.5413
O 0.0212 6.2350 4.9287
O 2.5062 1.8426 0.6019
O 2.5486 5.8814 3.7249
O 5.0337 2.1962 8.0516
```

---

Here is an optimized crystal structure of GePdSeO from the Open Quantum Materials Database. Energies are from PBE. Values from VASP.

Cell and atoms, written as Quantum ESPRESSO input:
```
&SYSTEM
  ibrav = 0, nat = 8, ntyp = 4
/
ATOMIC_SPECIES
Ge 72.64 Ge.upf
Pd 106.42 Pd.upf
Se 78.96 Se.upf
O 16.00 O.upf
CELL_PARAMETERS angstrom
4.4723 0.0000 0.0000
0.0000 4.4723 0.0000
0.0000 0.0000 7.8067
ATOMIC_POSITIONS angstrom
Ge 1.1181 1.1181 1.1827
Ge 3.3542 3.3542 6.6240
Pd 1.1181 1.1181 5.0698
Pd 3.3542 3.3542 2.7368
Se 1.1181 3.3542 3.9033
Se 3.3542 1.1181 3.9033
O 1.1181 1.1181 7.2959
O 3.3542 3.3542 0.5108
```

---

Here is an optimized crystal structure of GePdSeO from the Open Quantum Materials Database. Energies are from PBE. Values from VASP.

Cell and atoms, written as Quantum ESPRESSO input:
```
&SYSTEM
  ibrav = 0, nat = 8, ntyp = 4
/
ATOMIC_SPECIES
Ge 72.64 Ge.upf
Pd 106.42 Pd.upf
Se 78.96 Se.upf
O 16.00 O.upf
CELL_PARAMETERS angstrom
3.9382 0.0000 0.0000
0.0000 3.9382 0.0000
0.0000 0.0000 10.2354
ATOMIC_POSITIONS angstrom
Ge 0.9845 0.9845 1.0567
Ge 2.9536 2.9536 9.1787
Pd 0.9845 2.9536 5.1177
Pd 2.9536 0.9845 5.1177
Se 0.9845 0.9845 6.6569
Se 2.9536 2.9536 3.5786
O 0.9845 0.9845 9.5401
O 2.9536 2.9536 0.6953
```

---

Here is an optimized crystal structure of GePdSeO from the Open Quantum Materials Database. Energies are from PBE. Values from VASP.

Cell and atoms, written as Quantum ESPRESSO input:
```
&SYSTEM
  ibrav = 0, nat = 8, ntyp = 4
/
ATOMIC_SPECIES
Ge 72.64 Ge.upf
Pd 106.42 Pd.upf
Se 78.96 Se.upf
O 16.00 O.upf
CELL_PARAMETERS angstrom
4.1999 0.0000 0.0000
0.0000 4.1999 0.0000
0.0000 0.0000 7.7653
ATOMIC_POSITIONS angstrom
Ge 1.0500 3.1499 0.0000
Ge 3.1499 1.0500 0.0000
Pd 1.0500 1.0500 1.4747
Pd 3.1499 3.1499 6.2906
Se 1.0500 1.0500 5.4324
Se 3.1499 3.1499 2.3329
O 1.0500 1.0500 3.7458
O 3.1499 3.1499 4.0195
```

---

What E values result from the calculations? In sequence: -6.580 -6.597 -6.597 -7.132 -5.526 -6.682 -5.145 -4.908 -5.033 -4.859 -4.901 -4.665 eV/atom.